DFT (PBE) results for an optimized crystal structure of TaAlRu3.

The value obtained for the uncorrected energy is -7.9995 eV per atom. As for the energy above the lowest structure with this stoichiometry: 0.000 eV/atom. The formation energy comes out at 0.69 eV per atom.

The space group is Pm-3m (No. 221) and the conventional cell measures 4.3413, 4.3413 and 4.3413 Å, with angles of 90.00, 90.00 and 90.00 degrees. Symmetry generates all atoms from Ta at (0.0000, 0.0000, 0.0000), Al at (0.5000, 0.5000, 0.5000) and Ru at (0.0000, 0.5000, 0.5000).



DFT (PBE) results for an optimized crystal structure of ZrTaTe2.

The value obtained for the uncorrected energy is -6.3165 eV per atom. As for the energy above the lowest structure with this stoichiometry: 0.766 eV/atom. The energy relative to the elements, uncorrected is 0.35 eV per atom.

The space group is F-43m (No. 216) and the conventional cell measures 7.1385, 7.1385 and 7.1385 Å, with angles of 90.00, 90.00 and 90.00 degrees. Symmetry generates all atoms from Zr at (0.0000, 0.0000, 0.0000), Ta at (0.2500, 0.2500, 0.2500), Te at (0.0000, 0.0000, 0.5000) and Te at (0.2500, 0.2500, 0.7500).



DFT (PBE) results for an optimized crystal structure of Tm4IrPb3.

The value obtained for the uncorrected energy is -5.2674 eV per atom. The formation energy comes out at -0.53 eV per atom.

The space group is P4/mmm (No. 123) and the conventional cell measures 3.4827, 3.4827 and 16.8394 Å, with angles of 90.00, 90.00 and 90.00 degrees. Symmetry generates all atoms from Tm at (0.0000, 0.0000, 0.0957), Tm at (0.0000, 0.0000, 0.3665), Ir at (0.5000, 0.5000, 0.0000), Pb at (0.5000, 0.5000, 0.2356) and Pb at (0.5000, 0.5000, 0.5000).



DFT (PBE) results for an optimized crystal structure of LuAlCd2.

The value obtained for the uncorrected energy is -2.6488 eV per atom. The formation energy comes out at -0.13 eV per atom.

The space group is Fm-3m (No. 225) and the conventional cell measures 7.0341, 7.0341 and 7.0341 Å, with angles of 90.00, 90.00 and 90.00 degrees. Symmetry generates all atoms from Lu at (0.0000, 0.0000, 0.0000), Al at (0.0000, 0.0000, 0.5000) and Cd at (0.2500, 0.2500, 0.2500).



DFT (PBE) results for an optimized crystal structure of V2InC.

The value obtained for the uncorrected energy is -6.2525 eV per atom. As for the energy above the lowest structure with this stoichiometry: 1.647 eV/atom. The formation energy comes out at 1.30 eV per atom.

The space group is Fm-3m (No. 225) and the conventional cell measures 6.0242, 6.0242 and 6.0242 Å, with angles of 90.00, 90.00 and 90.00 degrees. Symmetry generates all atoms from V at (0.2500, 0.2500, 0.2500), In at (0.0000, 0.0000, 0.0000) and C at (0.0000, 0.0000, 0.5000).



DFT (PBE) results for an optimized crystal structure of DyYHgAu.

The value obtained for the uncorrected energy is -4.3396 eV per atom. As for the energy above the lowest structure with this stoichiometry: 0.000 eV/atom. The formation energy comes out at -0.68 eV per atom.

The space group is P4mm (No. 99) and the conventional cell measures 3.6763, 3.6763 and 7.2746 Å, with angles of 90.00, 90.00 and 90.00 degrees. Symmetry generates all atoms from Dy at (0.0000, 0.0000, 0.0000), Y at (0.0000, 0.0000, 0.4791), Hg at (0.5000, 0.5000, 0.7410) and Au at (0.5000, 0.5000, 0.2351).



DFT (PBE) results for an optimized crystal structure of SbRuNF2.

The value obtained for the uncorrected energy is -4.9877 eV per atom. As for the energy above the lowest structure with this stoichiometry: 0.345 eV/atom. The energy relative to the elements, uncorrected is 0.11 eV per atom.

The space group is P4/mmm (No. 123) and the conventional cell measures 3.8047, 3.8047 and 5.6109 Å, with angles of 90.00, 90.00 and 90.00 degrees. Symmetry generates all atoms from Sb at (0.0000, 0.0000, 0.0000), Ru at (0.0000, 0.0000, 0.5000), N at (0.5000, 0.5000, 0.0000) and F at (0.0000, 0.5000, 0.5000).



DFT (PBE) results for an optimized crystal structure of La2DyHoTe6.

The value obtained for the uncorrected energy is -5.2250 eV per atom. The energy relative to the elements, uncorrected is -1.44 eV per atom.

The space group is R3 (No. 146, hexagonal axes) and the conventional cell measures 7.9422, 7.9422 and 21.0936 Å, with angles of 90.00, 90.00 and 120.00 degrees. Symmetry generates all atoms from La at (0.0000, 0.0000, 0.0000), La at (0.0000, 0.0000, 0.4996), Dy at (0.0000, 0.0000, 0.3045), Ho at (0.0000, 0.0000, 0.8049), Te at (0.0142, 0.3760, 0.0628) and Te at (0.0160, 0.6397, 0.5627).



DFT (PBE) results for an optimized crystal structure of LiCdP2Se6.

The value obtained for the uncorrected energy is -3.7024 eV per atom. The energy relative to the elements, uncorrected is -0.25 eV per atom.

The space group is C2/c (No. 15) and the conventional cell measures 13.9309, 11.6705 and 7.5755 Å, with angles of 90.00, 118.57 and 90.00 degrees. Symmetry generates all atoms from Li at (0.0000, 0.2301, 0.2500), Cd at (0.0000, 0.1883, 0.7500), P at (0.2148, 0.4106, 0.7282), Se at (0.1041, 0.0751, 0.1222), Se at (0.1388, 0.4956, 0.9145) and Se at (0.1591, 0.2276, 0.6538).



DFT (PBE) results for an optimized crystal structure of Dy4CdFe.

The value obtained for the uncorrected energy is -4.7466 eV per atom. The formation energy comes out at -0.12 eV per atom.

The space group is C2/c (No. 15) and the conventional cell measures 8.7142, 12.5360 and 6.0576 Å, with angles of 90.00, 106.78 and 90.00 degrees. Symmetry generates all atoms from Dy at (0.1039, 0.1631, 0.0440), Dy at (0.2193, 0.4180, 0.3917), Cd at (0.0000, 0.3741, 0.7500) and Fe at (0.0000, 0.0013, 0.2500).



DFT (PBE) results for an optimized crystal structure of YScGa2W.

The value obtained for the uncorrected energy is -4.9766 eV per atom. The formation energy comes out at 1.38 eV per atom.

The space group is P4/mmm (No. 123) and the conventional cell measures 5.1885, 5.1885 and 4.9685 Å, with angles of 90.00, 90.00 and 90.00 degrees. Symmetry generates all atoms from Y at (0.0000, 0.0000, 0.0000), Sc at (0.5000, 0.5000, 0.5000), Ga at (0.0000, 0.5000, 0.0000) and W at (0.0000, 0.0000, 0.5000).



DFT (PBE) results for an optimized crystal structure of Tb4Pr3Dy2.

The value obtained for the uncorrected energy is -4.6566 eV per atom. As for the energy above the lowest structure with this stoichiometry: 0.000 eV/atom. The formation energy comes out at 0.02 eV per atom.

The space group is P-1 (No. 2) and the conventional cell measures 6.2400, 6.2480 and 9.5462 Å, with angles of 108.93, 90.12 and 119.95 degrees. Symmetry generates all atoms from Tb at (0.1648, 0.3320, 0.9998), Tb at (0.2769, 0.8868, 0.3331), Pr at (0.3879, 0.4432, 0.6664), Pr at (0.5000, 0.0000, 0.0000) and Dy at (0.0549, 0.7769, 0.6663).



DFT (PBE) results for an optimized crystal structure of TiBeS2Cl.

The value obtained for the uncorrected energy is -4.5219 eV per atom. As for the energy above the lowest structure with this stoichiometry: 0.000 eV/atom. The energy relative to the elements, uncorrected is -0.18 eV per atom.

The space group is P4/mmm (No. 123) and the conventional cell measures 4.4651, 4.4651 and 4.1329 Å, with angles of 90.00, 90.00 and 90.00 degrees. Symmetry generates all atoms from Ti at (0.0000, 0.0000, 0.0000), Be at (0.5000, 0.5000, 0.5000), S at (0.0000, 0.5000, 0.5000) and Cl at (0.5000, 0.5000, 0.0000).



DFT (PBE) results for an optimized crystal structure of Pa3Si8Os3.

The value obtained for the uncorrected energy is -7.9837 eV per atom. The energy relative to the elements, uncorrected is -0.44 eV per atom.

The space group is Immm (No. 71) and the conventional cell measures 4.1502, 9.8300 and 11.3404 Å, with angles of 90.00, 90.00 and 90.00 degrees. Symmetry generates all atoms from Pa at (0.0000, 0.0000, 0.0000), Pa at (0.0000, 0.0000, 0.3117), Si at (0.0000, 0.2818, 0.1259), Si at (0.0000, 0.3717, 0.3372), Os at (0.0000, 0.2121, 0.5000) and Os at (0.0000, 0.5000, 0.0000).



DFT (PBE) results for an optimized crystal structure of Zr3CdAg2.

The value obtained for the uncorrected energy is -5.3900 eV per atom. The formation energy comes out at -0.01 eV per atom.

The space group is Imma (No. 74) and the conventional cell measures 3.8706, 13.8684 and 9.3482 Å, with angles of 90.00, 90.00 and 90.00 degrees. Symmetry generates all atoms from Zr at (0.0000, 0.0806, 0.1227), Zr at (0.0000, 0.2500, 0.3693), Cd at (0.0000, 0.2500, 0.8734) and Ag at (0.0000, 0.0868, 0.6307).



DFT (PBE) results for an optimized crystal structure of Ac3AlCd2Pd9.

The value obtained for the uncorrected energy is -4.6988 eV per atom. The formation energy comes out at -0.39 eV per atom.

The space group is P-3m1 (No. 164) and the conventional cell measures 7.5957, 7.5957 and 7.0775 Å, with angles of 90.00, 90.00 and 120.00 degrees. Symmetry generates all atoms from Ac at (0.0000, 0.0000, 0.0000), Ac at (0.3333, 0.6667, 0.6805), Al at (0.0000, 0.0000, 0.5000), Cd at (0.3333, 0.6667, 0.1939), Pd at (0.0000, 0.5000, 0.0000) and Pd at (0.1524, 0.3049, 0.3313).



DFT (PBE) results for an optimized crystal structure of BaTcIr2.

The value obtained for the uncorrected energy is -7.1953 eV per atom. As for the energy above the lowest structure with this stoichiometry: 0.213 eV/atom. The formation energy comes out at 0.31 eV per atom.

The space group is P2/m (No. 10) and the conventional cell measures 2.9082, 3.6032 and 7.6979 Å, with angles of 90.00, 90.21 and 90.00 degrees. Symmetry generates all atoms from Ba at (0.0000, 0.0000, 0.0000), Tc at (0.0000, 0.0000, 0.5000) and Ir at (0.4983, 0.5000, 0.3247).



DFT (PBE) results for an optimized crystal structure of TeIr2Rh.

The value obtained for the uncorrected energy is -6.6663 eV per atom. The energy relative to the elements, uncorrected is 0.39 eV per atom.

The space group is P4mm (No. 99) and the conventional cell measures 2.9206, 2.9206 and 7.8349 Å, with angles of 90.00, 90.00 and 90.00 degrees. Symmetry generates all atoms from Te at (0.0000, 0.0000, 0.0000), Ir at (0.0000, 0.0000, 0.5061), Ir at (0.5000, 0.5000, 0.2839) and Rh at (0.5000, 0.5000, 0.7401).



DFT (PBE) results for an optimized crystal structure of Dy2ErBe.

The value obtained for the uncorrected energy is -4.3013 eV per atom. As for the energy above the lowest structure with this stoichiometry: 0.000 eV/atom. The formation energy comes out at 0.07 eV per atom.

The space group is P4/mmm (No. 123) and the conventional cell measures 3.4646, 3.4646 and 8.4827 Å, with angles of 90.00, 90.00 and 90.00 degrees. Symmetry generates all atoms from Dy at (0.0000, 0.0000, 0.1946), Er at (0.5000, 0.5000, 0.5000) and Be at (0.5000, 0.5000, 0.0000).



DFT (PBE) results for an optimized crystal structure of NaSr3Pd.

The value obtained for the uncorrected energy is -2.5757 eV per atom. As for the energy above the lowest structure with this stoichiometry: 0.022 eV/atom. The formation energy comes out at -0.26 eV per atom.

The space group is P-1 (No. 2) and the conventional cell measures 6.4404, 7.5157 and 9.6392 Å, with angles of 71.76, 78.17 and 66.15 degrees. Symmetry generates all atoms from Na at (0.0908, 0.2435, 0.0233), Sr at (0.0388, 0.6735, 0.5982), Sr at (0.3786, 0.9618, 0.7149), Sr at (0.3828, 0.6631, 0.2015) and Pd at (0.4436, 0.3342, 0.4897).



DFT (PBE) results for an optimized crystal structure of NaHBr3.

The value obtained for the uncorrected energy is -1.6844 eV per atom. As for the energy above the lowest structure with this stoichiometry: 0.951 eV/atom.

The space group is Pm-3m (No. 221) and the conventional cell measures 5.6855, 5.6855 and 5.6855 Å, with angles of 90.00, 90.00 and 90.00 degrees. Symmetry generates all atoms from Na at (0.0000, 0.0000, 0.0000), H at (0.5000, 0.5000, 0.5000) and Br at (0.0000, 0.0000, 0.5000).



DFT (PBE) results for an optimized crystal structure of SmErTlAu.

The value obtained for the uncorrected energy is -4.2792 eV per atom. As for the energy above the lowest structure with this stoichiometry: 0.057 eV/atom. The formation energy comes out at -0.55 eV per atom.

The space group is F-43m (No. 216) and the conventional cell measures 7.4592, 7.4592 and 7.4592 Å, with angles of 90.00, 90.00 and 90.00 degrees. Symmetry generates all atoms from Sm at (0.0000, 0.0000, 0.0000), Er at (0.0000, 0.0000, 0.5000), Tl at (0.2500, 0.2500, 0.2500) and Au at (0.2500, 0.2500, 0.7500).



DFT (PBE) results for an optimized crystal structure of MgMnCl.

The value obtained for the uncorrected energy is -4.3478 eV per atom. As for the energy above the lowest structure with this stoichiometry: 0.096 eV/atom. The energy relative to the elements, uncorrected is -0.14 eV per atom.

The space group is I4mm (No. 107) and the conventional cell measures 3.2003, 3.2003 and 11.4216 Å, with angles of 90.00, 90.00 and 90.00 degrees. Symmetry generates all atoms from Mg at (0.0000, 0.0000, 0.0000), Mn at (0.0000, 0.0000, 0.3498) and Cl at (0.0000, 0.0000, 0.7142).



DFT (PBE) results for an optimized crystal structure of YPHO2.

The value obtained for the uncorrected energy is -5.8006 eV per atom. As for the energy above the lowest structure with this stoichiometry: 0.000 eV/atom.

The space group is P4/mmm (No. 123) and the conventional cell measures 4.1389, 4.1389 and 3.1195 Å, with angles of 90.00, 90.00 and 90.00 degrees. Symmetry generates all atoms from Y at (0.0000, 0.0000, 0.0000), P at (0.5000, 0.5000, 0.0000), H at (0.5000, 0.5000, 0.5000) and O at (0.0000, 0.5000, 0.5000).



DFT (PBE) results for an optimized crystal structure of Nb2Tl2S5.

The value obtained for the uncorrected energy is -5.6924 eV per atom. The energy relative to the elements, uncorrected is -0.64 eV per atom.

The space group is C2/m (No. 12) and the conventional cell measures 13.8054, 4.8643 and 7.6958 Å, with angles of 90.00, 97.11 and 90.00 degrees. Symmetry generates all atoms from Nb at (0.1503, 0.0000, 0.3906), Tl at (0.1080, 0.5000, 0.8388), S at (0.0000, 0.0000, 0.5000), S at (0.1495, 0.0000, 0.0967) and S at (0.1813, 0.5000, 0.4583).